Li4Ca5Pd4 | PBE | relaxed

## Properties
SG ... I4/m (87)
Calculated formation energy ... -481.2 meV/atom

abc: 8.545 8.545 8.545
angles: 93.52 93.52 151.32
Sites, in units of the cell vectors:
Li (0.076, 0.395, 0.471)
Li (0.395, 0.924, 0.320)
Li (0.605, 0.076, 0.680)
Li (0.924, 0.605, 0.529)
Ca (0.129, 0.790, 0.919)
Ca (0.210, 0.129, 0.339)
Ca (0.500, 0.500, 0.000)
Ca (0.790, 0.871, 0.661)
Ca (0.871, 0.210, 0.081)
Pd (0.249, 0.560, 0.809)
Pd (0.440, 0.249, 0.689)
Pd (0.560, 0.751, 0.311)
Pd (0.751, 0.440, 0.191)

=====

NdIn3Pt2 | PBE | relaxed

## Properties
SG ... C2/m (12)
Calculated formation energy ... -627.9 meV/atom

abc: 9.419 9.419 11.180
angles: 105.61 105.61 25.58
Sites, in units of the cell vectors:
Nd (0.000, 0.000, 0.000)
Nd (0.155, 0.155, 0.706)
Nd (0.845, 0.845, 0.294)
In (0.039, 0.039, 0.337)
In (0.218, 0.218, 0.392)
In (0.327, 0.327, 0.036)
In (0.375, 0.375, 0.800)
In (0.500, 0.500, 0.500)
In (0.625, 0.625, 0.200)
In (0.673, 0.673, 0.964)
In (0.782, 0.782, 0.608)
In (0.961, 0.961, 0.663)
Pt (0.211, 0.211, 0.143)
Pt (0.361, 0.361, 0.536)
Pt (0.470, 0.470, 0.190)
Pt (0.530, 0.530, 0.810)
Pt (0.639, 0.639, 0.464)
Pt (0.789, 0.789, 0.857)

=====

Be3Hg | PBE | relaxed

## Properties
SG ... P6_3/mmc (194)
Calculated formation energy ... 324.5 meV/atom

abc: 5.424 5.424 3.694
angles: 90.00 90.00 120.00
Sites, in units of the cell vectors:
Be (0.137, 0.275, 0.250)
Be (0.137, 0.863, 0.250)
Be (0.275, 0.137, 0.750)
Be (0.725, 0.863, 0.250)
Be (0.863, 0.137, 0.750)
Be (0.863, 0.725, 0.750)
Hg (0.333, 0.667, 0.750)
Hg (0.667, 0.333, 0.250)

=====

Sr3Al3Ga2 | PBE | relaxed

## Properties
SG ... Pnma (62)
Calculated formation energy ... -308.1 meV/atom

abc: 8.615 15.918 6.246
angles: 90.00 90.00 90.00
Sites, in units of the cell vectors:
Sr (0.040, 0.111, 0.123)
Sr (0.040, 0.389, 0.123)
Sr (0.186, 0.250, 0.603)
Sr (0.314, 0.750, 0.103)
Sr (0.460, 0.611, 0.623)
Sr (0.460, 0.889, 0.623)
Sr (0.540, 0.111, 0.377)
Sr (0.540, 0.389, 0.377)
Sr (0.686, 0.250, 0.897)
Sr (0.814, 0.750, 0.397)
Sr (0.960, 0.611, 0.877)
Sr (0.960, 0.889, 0.877)
Al (0.170, 0.750, 0.586)
Al (0.182, 0.034, 0.615)
Al (0.182, 0.466, 0.615)
Al (0.318, 0.534, 0.115)
Al (0.318, 0.966, 0.115)
Al (0.330, 0.250, 0.086)
Al (0.670, 0.750, 0.914)
Al (0.682, 0.034, 0.885)
Al (0.682, 0.466, 0.885)
Al (0.818, 0.534, 0.385)
Al (0.818, 0.966, 0.385)
Al (0.830, 0.250, 0.414)
Ga (0.105, 0.602, 0.381)
Ga (0.105, 0.898, 0.381)
Ga (0.395, 0.102, 0.881)
Ga (0.395, 0.398, 0.881)
Ga (0.605, 0.602, 0.119)
Ga (0.605, 0.898, 0.119)
Ga (0.895, 0.102, 0.619)
Ga (0.895, 0.398, 0.619)

=====

K2SbW | PBE | relaxed

## Properties
SG ... Cm (8)

abc: 4.892 4.892 10.045
angles: 97.26 97.26 43.23
Sites, in units of the cell vectors:
K (0.000, 0.000, 0.000)
K (0.198, 0.198, 0.566)
Sb (0.458, 0.458, 0.305)
W (0.740, 0.740, 0.267)

=====

Pa2BeZn | PBE | relaxed

## Properties
SG ... R-3m (166)
Calculated formation energy ... 454.5 meV/atom

abc: 10.764 10.764 10.764
angles: 16.24 16.24 16.24
Sites, in units of the cell vectors:
Pa (0.097, 0.097, 0.097)
Pa (0.903, 0.903, 0.903)
Be (0.500, 0.500, 0.500)
Zn (0.000, 0.000, 0.000)

=====

KAg3Au | PBE | relaxed

## Properties
SG ... Pm-3m (221)
Calculated formation energy ... 1278.5 meV/atom

abc: 5.398 5.398 5.398
angles: 90.00 90.00 90.00
Sites, in units of the cell vectors:
K (0.000, 0.000, 0.000)
Ag (0.000, 0.000, 0.500)
Ag (0.000, 0.500, 0.000)
Ag (0.500, 0.000, 0.000)
Au (0.500, 0.500, 0.500)

=====

NaH2Pd2Pb | PBE | relaxed

## Properties
SG ... P2_1/m (11)

abc: 5.948 4.867 6.408
angles: 90.00 105.31 90.00
Sites, in units of the cell vectors:
Na (0.155, 0.250, 0.407)
Na (0.845, 0.750, 0.593)
H (0.176, 0.504, 0.707)
H (0.176, 0.996, 0.707)
H (0.824, 0.004, 0.293)
H (0.824, 0.496, 0.293)
Pd (0.197, 0.250, 0.904)
Pd (0.395, 0.750, 0.740)
Pd (0.605, 0.250, 0.260)
Pd (0.803, 0.750, 0.096)
Pb (0.319, 0.750, 0.175)
Pb (0.681, 0.250, 0.825)

=====

BaPt | PBE | relaxed

## Properties
SG ... P6_3/mmc (194)
Calculated formation energy ... -554.0 meV/atom

abc: 4.422 4.422 8.009
angles: 90.00 90.00 120.00
Sites, in units of the cell vectors:
Ba (0.000, 0.000, 0.000)
Ba (0.000, 0.000, 0.500)
Pt (0.333, 0.667, 0.250)
Pt (0.667, 0.333, 0.750)

=====

In2PAu | PBE | relaxed

## Properties
SG ... P1 (1)
Calculated formation energy ... -31.7 meV/atom

abc: 4.430 6.985 7.042
angles: 67.46 71.98 89.06
Sites, in units of the cell vectors:
In (0.000, 0.000, 0.000)
In (0.067, 0.537, 0.741)
In (0.310, 0.603, 0.109)
In (0.470, 0.038, 0.410)
P (0.587, 0.655, 0.367)
P (0.872, 0.958, 0.671)
Au (0.477, 0.270, 0.987)
Au (0.774, 0.325, 0.529)

=====

CaPbN3 | PBE | relaxed

## Properties
SG ... Pm-3m (221)

abc: 4.335 4.335 4.335
angles: 90.00 90.00 90.00
Sites, in units of the cell vectors:
Ca (0.000, 0.000, 0.000)
Pb (0.500, 0.500, 0.500)
N (0.000, 0.500, 0.500)
N (0.500, 0.000, 0.500)
N (0.500, 0.500, 0.000)

=====

BaCaAc | PBE | relaxed

## Properties
SG ... Cm (8)
Calculated formation energy ... 54.9 meV/atom

abc: 4.088 4.088 20.267
angles: 90.03 90.03 59.95
Sites, in units of the cell vectors:
Ba (0.000, 0.000, 0.000)
Ba (0.668, 0.668, 0.815)
Ca (0.336, 0.336, 0.645)
Ca (0.668, 0.668, 0.169)
Ac (0.001, 0.001, 0.329)
Ac (0.668, 0.668, 0.485)

=====

Sr8Cd2Ni | PBE | relaxed

## Properties
SG ... C2/m (12)
Calculated formation energy ... -85.4 meV/atom

abc: 8.705 8.705 7.286
angles: 104.95 104.95 73.01
Sites, in units of the cell vectors:
Sr (0.089, 0.089, 0.303)
Sr (0.166, 0.556, 0.258)
Sr (0.374, 0.374, 0.751)
Sr (0.444, 0.834, 0.742)
Sr (0.556, 0.166, 0.258)
Sr (0.626, 0.626, 0.249)
Sr (0.834, 0.444, 0.742)
Sr (0.911, 0.911, 0.697)
Cd (0.173, 0.173, 0.910)
Cd (0.827, 0.827, 0.090)
Ni (0.500, 0.500, 0.500)

=====

B2H6Rh | PBE | relaxed

## Properties
SG ... C2/c (15)

abc: 4.604 4.604 6.215
angles: 103.89 103.89 79.88
Sites, in units of the cell vectors:
B (0.103, 0.375, 0.396)
B (0.375, 0.103, 0.896)
B (0.625, 0.897, 0.104)
B (0.897, 0.625, 0.604)
H (0.076, 0.678, 0.832)
H (0.122, 0.208, 0.910)
H (0.208, 0.122, 0.410)
H (0.230, 0.524, 0.300)
H (0.322, 0.924, 0.668)
H (0.476, 0.770, 0.200)
H (0.524, 0.230, 0.800)
H (0.678, 0.076, 0.332)
H (0.770, 0.476, 0.700)
H (0.792, 0.878, 0.590)
H (0.878, 0.792, 0.090)
H (0.924, 0.322, 0.168)
Rh (0.394, 0.606, 0.750)
Rh (0.606, 0.394, 0.250)

=====

Ti3Br4Cl2 | PBE | relaxed

## Properties
SG ... P-6m2 (187)

abc: 3.406 3.406 26.096
angles: 90.00 90.00 120.00
Sites, in units of the cell vectors:
Ti (0.000, 0.000, 0.000)
Ti (0.333, 0.667, 0.271)
Ti (0.333, 0.667, 0.729)
Br (0.000, 0.000, 0.205)
Br (0.000, 0.000, 0.336)
Br (0.000, 0.000, 0.664)
Br (0.000, 0.000, 0.795)
Cl (0.333, 0.667, 0.059)
Cl (0.333, 0.667, 0.941)

=====

Rb3SiP | PBE | relaxed

## Properties
SG ... Pm-3m (221)

abc: 6.508 6.508 6.508
angles: 90.00 90.00 90.00
Sites, in units of the cell vectors:
Rb (0.000, 0.000, 0.500)
Rb (0.000, 0.500, 0.000)
Rb (0.500, 0.000, 0.000)
Si (0.500, 0.500, 0.500)
P (0.000, 0.000, 0.000)

=====

V2CrReN | PBE | relaxed

## Properties
SG ... P4/mmm (123)

abc: 3.945 3.945 3.801
angles: 90.00 90.00 90.00
Sites, in units of the cell vectors:
V (0.000, 0.500, 0.000)
V (0.500, 0.000, 0.000)
Cr (0.000, 0.000, 0.500)
Re (0.500, 0.500, 0.500)
N (0.000, 0.000, 0.000)

=====

LaDy5Tm2 | PBE | relaxed

## Properties
SG ... Pbam (55)
Calculated formation energy ... 25.0 meV/atom

abc: 7.121 20.070 7.116
angles: 90.00 90.00 90.00
Sites, in units of the cell vectors:
La (0.250, 0.124, 0.000)
La (0.250, 0.624, 0.000)
La (0.750, 0.376, 0.000)
La (0.750, 0.876, 0.000)
Dy (0.000, 0.000, 0.253)
Dy (0.000, 0.000, 0.747)
Dy (0.000, 0.250, 0.253)
Dy (0.000, 0.250, 0.747)
Dy (0.000, 0.750, 0.253)
Dy (0.000, 0.750, 0.747)
Dy (0.250, 0.375, 0.000)
Dy (0.250, 0.375, 0.500)
Dy (0.250, 0.875, 0.000)
Dy (0.250, 0.875, 0.500)
Dy (0.500, 0.250, 0.253)
Dy (0.500, 0.250, 0.747)
Dy (0.500, 0.500, 0.253)
Dy (0.500, 0.500, 0.747)
Dy (0.500, 0.750, 0.253)
Dy (0.500, 0.750, 0.747)
Dy (0.750, 0.125, 0.000)
Dy (0.750, 0.125, 0.500)
Dy (0.750, 0.625, 0.000)
Dy (0.750, 0.625, 0.500)
Tm (0.000, 0.500, 0.254)
Tm (0.000, 0.500, 0.746)
Tm (0.249, 0.625, 0.500)
Tm (0.251, 0.125, 0.500)
Tm (0.500, 0.000, 0.254)
Tm (0.500, 0.000, 0.746)
Tm (0.749, 0.875, 0.500)
Tm (0.751, 0.375, 0.500)

=====

Be2PtPb | PBE | relaxed

## Properties
SG ... Cmmm (65)
Calculated formation energy ... 297.6 meV/atom

abc: 4.254 4.254 3.311
angles: 90.00 90.00 95.29
Sites, in units of the cell vectors:
Be (0.000, 0.500, 0.000)
Be (0.500, 0.000, 0.000)
Pt (0.000, 0.000, 0.500)
Pb (0.500, 0.500, 0.500)

=====

VZnInP2 | PBE | relaxed

## Properties
SG ... P4/mmm (123)
Calculated formation energy ... 1483.4 meV/atom

abc: 4.989 4.989 4.839
angles: 90.00 90.00 90.00
Sites, in units of the cell vectors:
V (0.000, 0.000, 0.000)
Zn (0.500, 0.500, 0.000)
In (0.500, 0.500, 0.500)
P (0.000, 0.500, 0.500)
P (0.500, 0.000, 0.500)

=====

Number 1: total DFT energy (no corrections) -3.44 eV/atom. Number 2: total DFT energy (no corrections) -4.81 eV/atom. Number 3: total DFT energy (no corrections) -2.55 eV/atom. Number 4: total DFT energy (no corrections) -3.10 eV/atom. Number 5: total DFT energy (no corrections) -4.06 eV/atom. Number 6: total DFT energy (no corrections) -5.54 eV/atom. Number 7: total DFT energy (no corrections) -1.31 eV/atom. Number 8: total DFT energy (no corrections) -3.88 eV/atom. Number 9: total DFT energy (no corrections) -4.54 eV/atom. Number 10: total DFT energy (no corrections) -3.57 eV/atom. Number 11: total DFT energy (no corrections) -4.89 eV/atom. Number 12: total DFT energy (no corrections) -2.62 eV/atom. Number 13: total DFT energy (no corrections) -2.00 eV/atom. Number 14: total DFT energy (no corrections) -4.42 eV/atom. Number 15: total DFT energy (no corrections) -5.01 eV/atom. Number 16: total DFT energy (no corrections) -2.26 eV/atom. Number 17: total DFT energy (no corrections) -10.09 eV/atom. Number 18: total DFT energy (no corrections) -4.59 eV/atom. Number 19: total DFT energy (no corrections) -4.00 eV/atom. Number 20: total DFT energy (no corrections) -3.31 eV/atom.